No. 1
Entry from the Alexandria database: crystalline Sr4Pd2N at its relaxed geometry (GGA-PBE).

## Properties
Volume (Å³ per cell): 332.4
E_tot (eV per cell): -24.4
DOS at the Fermi energy (states/eV/cell): 3.6

```
7
Lattice="5.231 0.000 0.000 0.000 5.231 0.000 2.615 2.615 12.151" Properties=species:S:1:pos:R:3 pbc="T T T"
Sr 5.231 5.231 4.748
Sr 2.615 2.615 7.403
Sr 0.000 2.615 0.000
Sr 2.615 0.000 0.000
Pd 2.615 2.615 10.104
Pd 5.231 5.231 2.047
N 0.000 0.000 0.000
```


No. 2
Entry from the Alexandria database: crystalline Sr6PdN2 at its relaxed geometry (GGA-PBE).

## Properties
Volume (Å³ per cell): 322.3
E_tot (eV per cell): -35.7
DOS at the Fermi energy (states/eV/cell): 3.9

```
9
Lattice="-1.809 -2.049 -3.826 -2.724 -3.594 6.103 -6.422 7.197 -0.818" Properties=species:S:1:pos:R:3 pbc="T T T"
Sr -8.727 0.802 0.808
Sr -3.838 -3.063 0.566
Sr -7.117 4.617 0.893
Sr -5.787 2.037 -1.244
Sr -5.168 -0.484 2.703
Sr -2.229 0.752 0.651
Pd -3.211 3.598 -0.409
N -8.097 2.699 -0.506
N -2.859 -1.145 1.966
```


No. 3
Entry from the Alexandria database: crystalline SrPdN3 at its relaxed geometry (GGA-PBE).

## Properties
Volume (Å³ per cell): 66.1
E_tot (eV per cell): -26.6
DOS at the Fermi energy (states/eV/cell): 6.9

```
5
Lattice="-1.010 -2.627 -2.904 3.883 -1.061 -0.390 -0.508 -2.885 2.787" Properties=species:S:1:pos:R:3 pbc="T T T"
Sr 1.182 -3.287 -0.253
Pd 0.000 0.000 0.000
N 1.941 -0.530 -0.195
N -0.254 -1.443 1.394
N -0.505 -1.314 -1.452
```